Compound: Li4ZrF8
Source: Alexandria
Functional: PBE-GGA
Structure: relaxed

Results
Formation energy (no corrections), kcal/mol of atoms: -68.444
ΔE to the lowest computed polymorph, meV/atom: 295
Raw total energy, eV for the cell shown: -279.03
Volume, Å³/cell: 615.6

abc: 8.5068 8.5068 8.5068
angles: 90.00 90.00 90.00
With the nearest neighbours (Å) after each atom.
Space group F-43m (No. 216)
Inequivalent atoms, fractional coordinates:
Li 0.1065 0.1065 0.3935 [16 per cell]  3 F 1.89
Zr 0.0000 0.0000 0.0000 [4 per cell]  4 F 1.95
F 0.1150 0.1150 0.6150 [16 per cell]  3 Li 1.89
F 0.1324 0.1324 0.1324 [16 per cell]  1 Zr 1.95